[1]
5
Lattice="4.7944 0.0000 0.0000 0.0000 4.7944 0.0000 0.0000 0.0000 4.8743" Properties=species:S:1:pos:R:3 comment="GGA-PBE HfCdPS2, relaxed" dos_ef_per_ev_cell=3.701 e_form_raw_ev_per_atom=0.728 total_magnetization_mub_per_atom=0.000 pbc="T T T"
Hf 0.0000 0.0000 0.0000
Cd 2.3972 2.3972 2.4372
P 2.3972 2.3972 0.0000
S 0.0000 2.3972 2.4372
S 2.3972 0.0000 2.4372

=====

[2]
8
Lattice="-4.1548 4.1548 3.0632 4.1548 -4.1548 3.0632 4.1548 4.1548 -3.0632" Properties=species:S:1:pos:R:3 comment="GGA-PBE CaSc2Si, relaxed" dos_ef_per_ev_cell=7.675 e_form_raw_ev_per_atom=0.017 total_magnetization_mub_per_atom=0.000 pbc="T T T"
Ca 0.0000 0.0000 0.0000
Ca 0.0000 4.1548 1.5316
Sc 2.0774 -1.5059 2.2974
Sc 2.6489 2.0774 0.7658
Sc 2.0774 5.6606 -0.7658
Sc 1.5059 2.0774 3.8290
Si 4.1548 0.0000 1.5316
Si 0.0000 0.0000 3.0632

=====

[3]
11
Lattice="5.4813 -3.1525 0.0000 5.4813 3.1525 0.0000 -4.0303 0.0000 6.2961" Properties=species:S:1:pos:R:3 comment="GGA-PBE K2SmTc2N6, relaxed" dos_ef_per_ev_cell=3.862 e_form_raw_ev_per_atom=-0.202 total_magnetization_mub_per_atom=0.092 pbc="T T T"
K 1.5806 0.0000 1.1602
K 5.3518 0.0000 5.1359
Sm -2.0151 0.0000 3.1480
Tc 1.7694 0.0000 4.9851
Tc 5.1630 0.0000 1.3110
N 4.2223 1.4898 1.5507
N 0.1904 0.0000 4.1880
N 2.7100 1.4898 4.7454
N 4.2223 -1.4898 1.5507
N 6.7419 0.0000 2.1081
N 2.7100 -1.4898 4.7454

=====

[4]
3
Lattice="-1.4720 1.4720 4.9605 1.4720 -1.4720 4.9605 1.4720 1.4720 -4.9605" Properties=species:S:1:pos:R:3 comment="GGA-PBE TcGeOs, relaxed" dos_ef_per_ev_cell=2.559 formation_energy_ev_per_fu=0.23 total_magnetization_mub_per_atom=0.000 pbc="T T T"
Tc 0.0000 0.0000 0.0000
Ge 0.0000 0.0000 6.5608
Os 0.0000 0.0000 3.1930

=====

[5]
5
Lattice="4.9122 0.0000 0.0000 0.0000 4.9122 0.0000 0.0000 0.0000 4.9122" Properties=species:S:1:pos:R:3 comment="GGA-PBE ZnTcSe3, relaxed" dos_ef_per_ev_cell=6.942 e_form_raw_ev_per_atom=0.374 total_magnetization_mub_per_atom=0.000 pbc="T T T"
Zn 0.0000 0.0000 0.0000
Tc 2.4561 2.4561 2.4561
Se 0.0000 2.4561 2.4561
Se 2.4561 0.0000 2.4561
Se 2.4561 2.4561 0.0000

=====

[6]
7
Lattice="2.7885 1.6100 9.1050 -2.7885 1.6100 9.1050 0.0000 -3.2199 9.1050" Properties=species:S:1:pos:R:3 comment="GGA-PBE Sr4CdGa2, relaxed" dos_ef_per_ev_cell=7.696 formation_energy_ev_per_fu=-1.94 total_magnetization_mub_per_atom=0.000 pbc="T T T"
Sr 0.0000 0.0000 3.3603
Sr 0.0000 0.0000 10.2112
Sr 0.0000 0.0000 17.1038
Sr 0.0000 0.0000 23.9546
Cd 0.0000 0.0000 13.6575
Ga 0.0000 0.0000 6.7730
Ga 0.0000 0.0000 20.5419

=====

[7]
3
Lattice="4.3755 0.0000 0.0000 -2.1877 3.7893 0.0000 0.0000 0.0000 5.9667" Properties=species:S:1:pos:R:3 comment="GGA-PBE SeBr2, relaxed" dos_ef_per_ev_cell=3.304 e_form_raw_ev_per_atom=0.346 total_magnetization_mub_per_atom=0.000 pbc="T T T"
Se 0.0000 0.0000 0.0000
Br 0.0000 2.5262 1.3299
Br 2.1878 1.2631 4.6369

=====

[8]
10
Lattice="7.2274 0.0000 0.0000 0.0000 7.2274 0.0000 0.0000 0.0000 5.2000" Properties=species:S:1:pos:R:3 comment="GGA-PBE K2SbP2, relaxed" dos_ef_per_ev_cell=4.780 e_form_raw_ev_per_atom=-0.249 total_magnetization_mub_per_atom=0.000 pbc="T T T"
K 1.3177 2.2959 0.0000
K 2.2959 5.9096 0.0000
K 4.9314 1.3177 0.0000
K 5.9096 4.9314 0.0000
Sb 0.0000 0.0000 2.6000
Sb 3.6137 3.6137 2.6000
P 0.7731 4.3868 2.6000
P 2.8406 0.7731 2.6000
P 4.3868 6.4543 2.6000
P 6.4543 2.8406 2.6000

=====

[9]
5
Lattice="4.8525 0.0000 0.0000 0.0000 4.8525 0.0000 0.0000 0.0000 4.8379" Properties=species:S:1:pos:R:3 comment="GGA-PBE CeY2HgN, relaxed" dos_ef_per_ev_cell=7.178 e_form_raw_ev_per_atom=-0.834 total_magnetization_mub_per_atom=0.109 pbc="T T T"
Ce 0.0000 0.0000 0.0000
Y 0.0000 2.4262 2.4189
Y 2.4262 0.0000 2.4189
Hg 2.4262 2.4262 0.0000
N 0.0000 0.0000 2.4189

=====

[10]
3
Lattice="4.6546 0.0000 0.0000 -2.3273 4.0310 0.0000 0.0000 0.0000 4.2956" Properties=species:S:1:pos:R:3 comment="GGA-PBE GdPuAs, relaxed" dos_ef_per_ev_cell=8.836 formation_energy_ev_per_fu=-1.42 total_magnetization_mub_per_atom=4.609 pbc="T T T"
Gd 0.0000 0.0000 0.0000
Pu 2.3273 1.3437 2.0111
As 0.0000 2.6873 3.1457

=====

[11]
12
Lattice="3.7245 -6.4436 0.0000 3.7245 6.4436 0.0000 -2.4856 0.0000 7.0088" Properties=species:S:1:pos:R:3 comment="GGA-PBE Pm6BiAs5, relaxed" dos_ef_per_ev_cell=1.511 formation_energy_ev_per_fu=-16.89 total_magnetization_mub_per_atom=0.000 pbc="T T T"
Pm -0.0530 2.2338 5.2091
Pm 1.1433 0.0000 1.7949
Pm -0.0530 -2.2338 5.2091
Pm 5.0165 2.2338 1.7997
Pm 3.8201 0.0000 5.2139
Pm 5.0165 -2.2338 1.7997
Bi 3.7245 0.0000 0.0000
As -1.2428 0.0000 3.5044
As 3.7245 4.2922 0.0000
As 2.4817 2.1076 3.5044
As 2.4817 -2.1076 3.5044
As 3.7245 -4.2922 0.0000

=====

[12]
4
Lattice="2.0233 1.1682 11.2478 -2.0233 1.1682 11.2478 0.0000 -2.3363 11.2478" Properties=species:S:1:pos:R:3 comment="GGA-PBE AcSbI2, relaxed" dos_ef_per_ev_cell=2.570 e_form_raw_ev_per_atom=-0.517 total_magnetization_mub_per_atom=0.000 pbc="T T T"
Ac 0.0000 0.0000 0.0000
Sb 0.0000 0.0000 16.8718
I 0.0000 0.0000 13.6788
I 0.0000 0.0000 20.0647

=====

[13]
6
Lattice="2.7121 0.0000 0.0000 -0.0338 4.0742 0.0000 -1.3388 -2.0300 9.9568" Properties=species:S:1:pos:R:3 comment="GGA-PBE GePN, relaxed" dos_ef_per_ev_cell=1.089 e_form_raw_ev_per_atom=0.135 total_magnetization_mub_per_atom=0.000 pbc="T T T"
Ge -0.0008 0.0046 1.2532
Ge 1.3404 2.0395 8.7037
P -0.0169 2.0421 2.6738
P 1.3565 0.0021 7.2830
N 0.0005 0.0033 6.3963
N 1.3391 2.0408 3.5606

=====

[14]
18
Lattice="7.9447 0.0000 0.0000 0.0000 7.7593 0.0000 -2.9107 0.0000 7.0012" Properties=species:S:1:pos:R:3 comment="GGA-PBE Dy2Ho3Ge4, relaxed" dos_ef_per_ev_cell=9.649 formation_energy_ev_per_fu=-7.78 total_magnetization_mub_per_atom=0.000 pbc="T T T"
Dy 1.4215 1.3905 0.4157
Dy -0.0339 2.4892 3.9163
Dy 5.0679 5.2701 3.0849
Dy 3.6125 6.3688 6.5855
Ho 1.2230 5.1412 1.5806
Ho -0.2324 6.4977 5.0813
Ho 2.5170 0.0000 3.5006
Ho 3.9724 3.8796 0.0000
Ho 5.2664 1.2616 1.9200
Ho 3.8110 2.6181 5.4206
Ge -1.6917 4.1402 5.7528
Ge -0.2363 7.4987 2.2521
Ge 1.3705 1.0273 6.0854
Ge 2.8259 2.8524 2.5848
Ge 2.2081 4.9069 4.4164
Ge 3.6635 6.7320 0.9158
Ge 5.2703 0.2605 4.7491
Ge 6.7257 3.6191 1.2485

=====

[15]
12
Lattice="3.0829 -6.4874 0.0000 3.0829 6.4874 0.0000 0.0000 0.0000 6.4078" Properties=species:S:1:pos:R:3 comment="GGA-PBE YHfFe, relaxed" dos_ef_per_ev_cell=15.393 formation_energy_ev_per_fu=0.04 total_magnetization_mub_per_atom=0.000 pbc="T T T"
Y 3.0829 3.9829 5.7930
Y 3.0829 2.5045 2.5891
Y 3.0829 -2.5045 3.8187
Y 3.0829 -3.9829 0.6148
Hf 1.5415 0.3209 4.8058
Hf 1.5415 -0.3209 1.6019
Hf 4.6244 0.3209 4.8058
Hf 4.6244 -0.3209 1.6019
Fe 3.0829 5.1568 3.4094
Fe 3.0829 1.3306 0.2055
Fe 3.0829 -1.3306 6.2023
Fe 3.0829 -5.1568 2.9984

=====

[16]
6
Lattice="3.7805 -2.1786 0.0000 3.7805 2.1786 0.0000 -2.5158 0.0000 8.3455" Properties=species:S:1:pos:R:3 comment="GGA-PBE SrAlH, relaxed" dos_ef_per_ev_cell=1.448 final_energy_ev_per_atom=-3.24 total_magnetization_mub_per_atom=0.000 pbc="T T T"
Sr -0.0002 0.0000 2.5028
Sr 5.0455 0.0000 5.8427
Al 2.5221 0.0000 0.0291
Al 2.5232 0.0000 8.3164
H 0.0012 0.0000 4.9884
H 5.0441 0.0000 3.3572

=====

[17]
3
Lattice="0.0000 3.0224 3.0224 3.0224 0.0000 3.0224 3.0224 3.0224 0.0000" Properties=species:S:1:pos:R:3 comment="GGA-PBE MnInP, relaxed" dos_ef_per_ev_cell=3.368 formation_energy_ev_per_fu=0.76 total_magnetization_mub_per_atom=0.935 pbc="T T T"
Mn 0.0000 0.0000 0.0000
In 4.5337 4.5337 4.5337
P 1.5112 1.5112 1.5112

=====

[18]
5
Lattice="4.3951 0.0000 0.0000 -2.1976 3.8063 0.0000 0.0000 0.0000 5.4402" Properties=species:S:1:pos:R:3 comment="GGA-PBE Zn2Ag3, relaxed" dos_ef_per_ev_cell=2.272 formation_energy_ev_per_fu=0.41 total_magnetization_mub_per_atom=0.000 pbc="T T T"
Zn 0.0000 2.5375 1.8558
Zn 2.1976 1.2688 3.5843
Ag 0.0000 0.0000 2.7201
Ag 0.0000 2.5375 4.6258
Ag 2.1976 1.2688 0.8144

=====

[19]
5
Lattice="4.5566 0.0000 0.0000 0.0000 4.5566 0.0000 0.0000 0.0000 4.8436" Properties=species:S:1:pos:R:3 comment="GGA-PBE RbGePdF2, relaxed" dos_ef_per_ev_cell=3.254 e_form_raw_ev_per_atom=-1.314 total_magnetization_mub_per_atom=0.000 pbc="T T T"
Rb 0.0000 0.0000 0.0000
Ge 2.2783 2.2783 2.4218
Pd 2.2783 2.2783 0.0000
F 0.0000 2.2783 2.4218
F 2.2783 0.0000 2.4218

=====

[20]
5
Lattice="5.3527 0.0000 0.0000 0.0000 5.3527 0.0000 0.0000 0.0000 5.2368" Properties=species:S:1:pos:R:3 comment="GGA-PBE AlTeSCl2, relaxed" dos_ef_per_ev_cell=1.266 e_form_raw_ev_per_atom=0.042 total_magnetization_mub_per_atom=0.000 pbc="T T T"
Al 0.0000 0.0000 0.0000
Te 2.6764 2.6764 2.6184
S 2.6764 2.6764 0.0000
Cl 0.0000 2.6764 2.6184
Cl 2.6764 0.0000 2.6184